# 1
BePbW2 PBE-GGA relaxed; total moment = 0.00 μB per formula unit; E above lowest polymorph = 699 meV per atom; formation energy from the elements = 4.641 eV per formula unit; SG = Fm-3m; D(E_F) = 3.31 states/eV/f.u.
1.0
6.396 0.000 0.000
0.000 6.396 0.000
0.000 0.000 6.396
Be Pb W
4 4 8
Cartesian
0.000 0.000 0.000 Be
0.000 3.198 3.198 Be
3.198 0.000 3.198 Be
3.198 3.198 0.000 Be
0.000 0.000 3.198 Pb
0.000 3.198 0.000 Pb
3.198 0.000 0.000 Pb
3.198 3.198 3.198 Pb
1.599 1.599 1.599 W
1.599 1.599 4.797 W
1.599 4.797 1.599 W
1.599 4.797 4.797 W
4.797 1.599 1.599 W
4.797 1.599 4.797 W
4.797 4.797 1.599 W
4.797 4.797 4.797 W

# 2
Be2PbW PBE-GGA relaxed; total moment = 0.00 μB per formula unit; formation energy from the elements = 3.015 eV per formula unit; SG = P4mm; D(E_F) = 3.30 states/eV/f.u.
1.0
3.108 0.000 0.000
0.000 3.108 0.000
0.000 0.000 6.352
Be Pb W
2 1 1
Cartesian
0.000 0.000 0.000 Be
1.554 1.554 1.047 Be
0.000 0.000 2.945 Pb
1.554 1.554 5.107 W

# 3
BePbW2 PBE-GGA relaxed; total moment = 0.00 μB per formula unit; E above lowest polymorph = 394 meV per atom; formation energy from the elements = 3.420 eV per formula unit; SG = Imm2; D(E_F) = 2.70 states/eV/f.u.
1.0
3.421 0.000 0.000
0.000 4.565 0.000
0.000 0.000 8.479
Be Pb W
2 2 4
Cartesian
0.000 0.000 0.000 Be
1.711 2.283 4.239 Be
0.000 2.283 6.375 Pb
1.711 0.000 2.135 Pb
0.000 0.000 4.488 W
0.000 2.283 2.300 W
1.711 0.000 6.539 W
1.711 2.283 0.249 W

# 4
Be2PbW PBE-GGA relaxed; total moment = 0.00 μB per formula unit; formation energy from the elements = 2.874 eV per formula unit; SG = Cmm2; D(E_F) = 1.84 states/eV/f.u.
1.0
4.041 0.000 0.000
0.000 4.052 0.000
0.000 0.000 8.732
Be Pb W
4 2 2
Cartesian
0.000 0.000 0.000 Be
0.000 2.026 0.890 Be
2.020 0.000 0.890 Be
2.020 2.026 0.000 Be
0.000 0.000 4.633 Pb
2.020 2.026 4.633 Pb
0.000 2.026 7.098 W
2.020 0.000 7.098 W

# 5
BePbW2 PBE-GGA relaxed; total moment = 0.00 μB per formula unit; E above lowest polymorph = 236 meV per atom; formation energy from the elements = 2.790 eV per formula unit; SG = Cmm2; D(E_F) = 1.45 states/eV/f.u.
1.0
3.362 0.000 0.000
0.000 4.658 0.000
0.000 0.000 9.398
Be Pb W
2 2 4
Cartesian
0.000 0.000 0.000 Be
1.681 2.329 0.000 Be
0.000 2.329 6.373 Pb
1.681 0.000 6.373 Pb
0.000 0.000 3.814 W
0.000 2.329 1.685 W
1.681 0.000 1.685 W
1.681 2.329 3.814 W

# 6
Be2PbW PBE-GGA relaxed; total moment = 0.00 μB per formula unit; formation energy from the elements = 3.472 eV per formula unit; SG = I4/mmm; D(E_F) = 1.43 states/eV/f.u.
1.0
3.869 0.000 0.000
0.000 3.869 0.000
0.000 0.000 8.042
Be Pb W
4 2 2
Cartesian
0.000 1.935 2.010 Be
0.000 1.935 6.031 Be
1.935 0.000 2.010 Be
1.935 0.000 6.031 Be
0.000 0.000 0.000 Pb
1.935 1.935 4.021 Pb
0.000 0.000 4.021 W
1.935 1.935 0.000 W

# 7
BePbW2 PBE-GGA relaxed; total moment = 0.00 μB per formula unit; E above lowest polymorph = 316 meV per atom; formation energy from the elements = 3.106 eV per formula unit; SG = Immm; D(E_F) = 2.13 states/eV/f.u.
1.0
3.247 0.000 0.000
0.000 4.682 0.000
0.000 0.000 8.493
Be Pb W
2 2 4
Cartesian
0.000 0.000 0.000 Be
1.623 2.341 4.247 Be
0.000 0.000 4.247 Pb
1.623 2.341 0.000 Pb
0.000 2.341 2.466 W
0.000 2.341 6.028 W
1.623 0.000 1.781 W
1.623 0.000 6.712 W

# 8
Be2PbW PBE-GGA relaxed; total moment = 0.00 μB per formula unit; formation energy from the elements = 2.428 eV per formula unit; SG = Pmm2; D(E_F) = 1.63 states/eV/f.u.
1.0
2.883 0.000 0.000
0.000 3.712 0.000
0.000 0.000 5.969
Be Pb W
2 1 1
Cartesian
0.000 0.000 0.000 Be
0.000 1.856 1.150 Be
0.000 1.856 3.985 Pb
1.441 0.000 1.971 W

# 9
Be2PbW PBE-GGA relaxed; total moment = 0.00 μB per formula unit; formation energy from the elements = 3.157 eV per formula unit; SG = Cmmm; D(E_F) = 2.04 states/eV/f.u.
1.0
5.696 0.000 0.000
0.000 7.008 0.000
0.000 0.000 2.979
Be Pb W
4 2 2
Cartesian
1.424 1.752 0.000 Be
1.424 5.256 0.000 Be
4.272 1.752 0.000 Be
4.272 5.256 0.000 Be
0.000 0.000 1.489 Pb
2.848 3.504 1.489 Pb
0.000 3.504 1.489 W
2.848 0.000 1.489 W

# 10
Be2PbW PBE-GGA relaxed; total moment = 0.00 μB per formula unit; formation energy from the elements = 2.214 eV per formula unit; SG = Imm2; D(E_F) = 0.47 states/eV/f.u.
1.0
3.582 0.000 0.000
0.000 3.625 0.000
0.000 0.000 9.017
Be Pb W
4 2 2
Cartesian
0.000 0.000 0.000 Be
0.000 1.812 1.667 Be
1.791 0.000 6.175 Be
1.791 1.812 4.508 Be
0.000 0.000 3.977 Pb
1.791 1.812 8.485 Pb
0.000 1.812 6.244 W
1.791 0.000 1.736 W

# 11
BePbW PBE-GGA relaxed; total moment = 0.00 μB per formula unit; E above lowest polymorph = 301 meV per atom; formation energy from the elements = 3.085 eV per formula unit; SG = P3m1; D(E_F) = 2.89 states/eV/f.u.
1.0
4.134 0.000 0.000
-2.067 3.580 0.000
0.000 0.000 3.544
Be Pb W
1 1 1
Cartesian
0.000 0.000 0.000 Be
2.067 1.193 1.761 Pb
0.000 2.387 3.532 W

# 12
Be2PbW PBE-GGA relaxed; total moment = 0.00 μB per formula unit; formation energy from the elements = 3.075 eV per formula unit; SG = R-3m; D(E_F) = 1.61 states/eV/f.u.
1.0
2.982 0.000 0.000
-1.491 2.582 0.000
0.000 0.000 25.957
Be Pb W
6 3 3
Cartesian
0.000 0.000 6.166 Be
0.000 0.000 19.791 Be
0.000 1.721 11.138 Be
0.000 1.721 23.471 Be
1.491 0.861 2.486 Be
1.491 0.861 14.818 Be
0.000 0.000 0.000 Pb
0.000 1.721 17.304 Pb
1.491 0.861 8.652 Pb
0.000 0.000 12.978 W
0.000 1.721 4.326 W
1.491 0.861 21.631 W

# 13
BePbW2 PBE-GGA relaxed; total moment = 0.00 μB per formula unit; E above lowest polymorph = 464 meV per atom; formation energy from the elements = 3.701 eV per formula unit; SG = F-43m; D(E_F) = 1.90 states/eV/f.u.
1.0
6.426 0.000 0.000
0.000 6.426 0.000
0.000 0.000 6.426
Be Pb W
4 4 8
Cartesian
0.000 0.000 0.000 Be
0.000 3.213 3.213 Be
3.213 0.000 3.213 Be
3.213 3.213 0.000 Be
1.606 1.606 4.819 Pb
1.606 4.819 1.606 Pb
4.819 1.606 1.606 Pb
4.819 4.819 4.819 Pb
0.000 0.000 3.213 W
0.000 3.213 0.000 W
1.606 1.606 1.606 W
1.606 4.819 4.819 W
3.213 0.000 0.000 W
3.213 3.213 3.213 W
4.819 1.606 4.819 W
4.819 4.819 1.606 W

# 14
BePbW2 PBE-GGA relaxed; total moment = 0.00 μB per formula unit; E above lowest polymorph = 489 meV per atom; formation energy from the elements = 3.801 eV per formula unit; SG = I4/mmm; D(E_F) = 2.49 states/eV/f.u.
1.0
3.863 0.000 0.000
0.000 3.863 0.000
0.000 0.000 8.955
Be Pb W
2 2 4
Cartesian
0.000 0.000 0.000 Be
1.931 1.931 4.477 Be
0.000 0.000 4.477 Pb
1.931 1.931 0.000 Pb
0.000 1.931 2.239 W
0.000 1.931 6.716 W
1.931 0.000 2.239 W
1.931 0.000 6.716 W

# 15
YBe3Pb PBE-GGA relaxed; total moment = 0.30 μB per formula unit; E above lowest polymorph = 640 meV per atom; formation energy from the elements = 8.168 eV per formula unit; SG = Pm-3m; D(E_F) = 4.99 states/eV/f.u.
1.0
5.057 0.000 0.000
0.000 5.057 0.000
0.000 0.000 5.057
Y Be Pb
1 3 1
Cartesian
0.000 0.000 0.000 Y
0.000 0.000 2.529 Be
0.000 2.529 0.000 Be
2.529 0.000 0.000 Be
2.529 2.529 2.529 Pb

# 16
Y2BePb PBE-GGA relaxed; total moment = 0.00 μB per formula unit; E above lowest polymorph = 303 meV per atom; formation energy from the elements = 0.322 eV per formula unit; SG = P4mm; D(E_F) = 3.18 states/eV/f.u.
1.0
3.470 0.000 0.000
0.000 3.470 0.000
0.000 0.000 8.416
Y Be Pb
2 1 1
Cartesian
0.000 0.000 0.000 Y
1.735 1.735 2.642 Y
0.000 0.000 4.406 Be
1.735 1.735 5.973 Pb

# 17
YBePb2 PBE-GGA relaxed; total moment = 0.00 μB per formula unit; formation energy from the elements = 0.596 eV per formula unit; SG = Cmmm; D(E_F) = 1.80 states/eV/f.u.
1.0
4.518 0.000 0.000
0.000 6.050 0.000
0.000 0.000 7.291
Y Be Pb
2 2 4
Cartesian
0.000 0.000 0.000 Y
2.259 3.025 0.000 Y
0.000 0.000 3.645 Be
2.259 3.025 3.645 Be
0.000 3.025 2.097 Pb
0.000 3.025 5.194 Pb
2.259 0.000 2.097 Pb
2.259 0.000 5.194 Pb

# 18
Y2BePb PBE-GGA relaxed; total moment = 0.06 μB per formula unit; E above lowest polymorph = 0 meV per atom; formation energy from the elements = -0.888 eV per formula unit; SG = Pm; D(E_F) = 4.04 states/eV/f.u.
1.0
4.385 0.000 0.000
0.000 4.149 0.000
-2.191 0.000 5.560
Y Be Pb
2 1 1
Cartesian
0.000 0.000 0.000 Y
-0.002 2.074 3.215 Y
2.186 0.000 2.511 Be
2.192 2.074 0.890 Pb

# 19
Y2BePb PBE-GGA relaxed; total moment = 0.00 μB per formula unit; E above lowest polymorph = 362 meV per atom; formation energy from the elements = 0.560 eV per formula unit; SG = I-42d; D(E_F) = 3.88 states/eV/f.u.
1.0
7.921 0.000 0.000
0.000 7.921 0.000
0.000 0.000 6.710
Y Be Pb
8 4 4
Cartesian
1.664 1.980 0.839 Y
1.980 5.624 2.516 Y
1.980 6.257 5.871 Y
2.296 1.980 4.194 Y
5.624 5.940 4.194 Y
5.940 1.664 5.871 Y
5.940 2.296 2.516 Y
6.257 5.940 0.839 Y
0.000 0.000 0.000 Be
0.000 3.960 1.677 Be
3.960 0.000 5.032 Be
3.960 3.960 3.355 Be
0.000 0.000 3.355 Pb
0.000 3.960 5.032 Pb
3.960 0.000 1.677 Pb
3.960 3.960 0.000 Pb

# 20
YBePb2 PBE-GGA relaxed; total moment = 0.00 μB per formula unit; formation energy from the elements = 0.715 eV per formula unit; SG = Pmm2; D(E_F) = 2.64 states/eV/f.u.
1.0
3.671 0.000 0.000
0.000 4.385 0.000
0.000 0.000 6.364
Y Be Pb
1 1 2
Cartesian
0.000 0.000 0.000 Y
1.835 2.192 1.354 Be
0.000 0.000 3.011 Pb
1.835 2.192 4.885 Pb

# 21
YBe4Pb PBE-GGA relaxed; total moment = 0.00 μB per formula unit; formation energy from the elements = 2.117 eV per formula unit; SG = F-43m; D(E_F) = 2.29 states/eV/f.u.
1.0
0.000 3.614 3.614
3.614 0.000 3.614
3.614 3.614 0.000
Y Be Pb
1 4 1
Cartesian
0.000 0.000 0.000 Y
4.619 2.609 2.609 Be
2.609 4.619 2.609 Be
2.609 2.609 4.619 Be
4.619 4.619 4.619 Be
1.807 1.807 1.807 Pb

# 22
YBePb2 PBE-GGA relaxed; total moment = 0.00 μB per formula unit; formation energy from the elements = 0.222 eV per formula unit; SG = P2/m; D(E_F) = 2.13 states/eV/f.u.
1.0
4.382 0.000 0.000
0.000 4.608 0.000
-0.042 0.000 4.811
Y Be Pb
1 1 2
Cartesian
0.000 0.000 0.000 Y
-0.021 2.304 2.405 Be
2.170 0.000 2.405 Pb
2.191 2.304 0.000 Pb

# 23
YBePb2 PBE-GGA relaxed; total moment = 0.00 μB per formula unit; formation energy from the elements = 0.132 eV per formula unit; SG = I-42d; D(E_F) = 3.74 states/eV/f.u.
1.0
7.977 0.000 0.000
0.000 7.977 0.000
0.000 0.000 6.178
Y Be Pb
4 4 8
Cartesian
0.000 0.000 0.000 Y
0.000 3.988 1.545 Y
3.988 0.000 4.634 Y
3.988 3.988 3.089 Y
0.000 0.000 3.089 Be
0.000 3.988 4.634 Be
3.988 0.000 1.545 Be
3.988 3.988 0.000 Be
1.471 1.994 3.861 Pb
1.994 5.459 5.406 Pb
1.994 6.506 2.317 Pb
2.518 1.994 0.772 Pb
5.459 5.983 0.772 Pb
5.983 1.471 2.317 Pb
5.983 2.518 5.406 Pb
6.506 5.983 3.861 Pb

# 24
YBePb3 PBE-GGA relaxed; total moment = 0.00 μB per formula unit; E above lowest polymorph = 0 meV per atom; formation energy from the elements = 1.092 eV per formula unit; SG = Pm-3m; D(E_F) = 2.67 states/eV/f.u.
1.0
5.146 0.000 0.000
0.000 5.146 0.000
0.000 0.000 5.146
Y Be Pb
1 1 3
Cartesian
0.000 0.000 0.000 Y
2.573 2.573 2.573 Be
0.000 2.573 2.573 Pb
2.573 0.000 2.573 Pb
2.573 2.573 0.000 Pb

# 25
Y2BePb PBE-GGA relaxed; total moment = 0.00 μB per formula unit; E above lowest polymorph = 332 meV per atom; formation energy from the elements = 0.439 eV per formula unit; SG = Pmm2; D(E_F) = 3.89 states/eV/f.u.
1.0
3.622 0.000 0.000
0.000 4.778 0.000
0.000 0.000 6.285
Y Be Pb
2 1 1
Cartesian
0.000 0.000 0.000 Y
1.811 2.389 2.188 Y
0.000 0.000 2.774 Be
1.811 2.389 5.219 Pb

# 26
YBe3Pb PBE-GGA relaxed; total moment = 0.00 μB per formula unit; E above lowest polymorph = 0 meV per atom; formation energy from the elements = 4.966 eV per formula unit; SG = Pm-3m; D(E_F) = 2.09 states/eV/f.u.
1.0
4.690 0.000 0.000
0.000 4.690 0.000
0.000 0.000 4.690
Y Be Pb
1 3 1
Cartesian
0.000 0.000 0.000 Y
0.000 2.345 2.345 Be
2.345 0.000 2.345 Be
2.345 2.345 0.000 Be
2.345 2.345 2.345 Pb

# 27
YBePb2 PBE-GGA relaxed; total moment = 0.00 μB per formula unit; formation energy from the elements = 0.464 eV per formula unit; SG = Pm; D(E_F) = 2.69 states/eV/f.u.
1.0
3.818 0.000 0.000
0.000 4.377 0.000
-1.803 0.000 6.123
Y Be Pb
1 1 2
Cartesian
0.000 0.000 0.000 Y
1.905 2.188 0.919 Be
0.087 2.188 4.401 Pb
1.969 0.000 2.689 Pb

# 28
YBePb2 PBE-GGA relaxed; total moment = 0.00 μB per formula unit; formation energy from the elements = 1.160 eV per formula unit; SG = F-43m; D(E_F) = 2.32 states/eV/f.u.
1.0
7.482 0.000 0.000
0.000 7.482 0.000
0.000 0.000 7.482
Y Be Pb
4 4 8
Cartesian
0.000 0.000 0.000 Y
0.000 3.741 3.741 Y
3.741 0.000 3.741 Y
3.741 3.741 0.000 Y
1.870 1.870 1.870 Be
1.870 5.611 5.611 Be
5.611 1.870 5.611 Be
5.611 5.611 1.870 Be
0.000 0.000 3.741 Pb
0.000 3.741 0.000 Pb
1.870 1.870 5.611 Pb
1.870 5.611 1.870 Pb
3.741 0.000 0.000 Pb
3.741 3.741 3.741 Pb
5.611 1.870 1.870 Pb
5.611 5.611 5.611 Pb

# 29
Y2BePb PBE-GGA relaxed; total moment = 0.00 μB per formula unit; E above lowest polymorph = 206 meV per atom; formation energy from the elements = -0.063 eV per formula unit; SG = I-4m2; D(E_F) = 3.43 states/eV/f.u.
1.0
4.355 0.000 0.000
0.000 4.355 0.000
0.000 0.000 10.606
Y Be Pb
4 2 2
Cartesian
0.000 0.000 0.000 Y
0.000 2.178 2.651 Y
2.178 0.000 7.954 Y
2.178 2.178 5.303 Y
0.000 2.178 7.954 Be
2.178 0.000 2.651 Be
0.000 0.000 5.303 Pb
2.178 2.178 0.000 Pb

# 30
YBePb4 PBE-GGA relaxed; total moment = 0.00 μB per formula unit; formation energy from the elements = 2.728 eV per formula unit; SG = F-43m; D(E_F) = 3.79 states/eV/f.u.
1.0
0.000 4.506 4.506
4.506 0.000 4.506
4.506 4.506 0.000
Y Be Pb
1 1 4
Cartesian
0.000 0.000 0.000 Y
6.759 6.759 6.759 Be
3.373 3.373 3.373 Pb
5.639 5.639 3.373 Pb
5.639 3.373 5.639 Pb
3.373 5.639 5.639 Pb